(1)
Compound: MgTaV2Te
Source: the Alexandria database
Functional: PBE-GGA
Structure: relaxed

Cell: 4.8668 5.2686 4.8668 Å, 90.00 90.00 90.00°
Each line ends with the local moment (μB).
Sites, in units of the cell vectors:
V (0.5000, 0.0000, 0.0000)  2.00
V (0.0000, 0.0000, 0.5000)  1.48
Te (0.0000, 0.5000, 0.0000)  0.01
Ta (0.0000, 0.0000, 0.0000)  -0.25
Mg (0.5000, 0.5000, 0.5000)  -0.03

Size of the total moment in μB/f.u.: 3.81
Density in g/cm³: 5.78
Formation energy without anion corrections in meV/atom: 1138

=====

(2)
Compound: MgTaVTe2
Source: the Alexandria database
Functional: PBE-GGA
Structure: relaxed

Cell: 5.1490 5.0043 5.1490 Å, 90.00 90.00 90.00°
Each line ends with the local moment (μB).
Sites, in units of the cell vectors:
Mg (0.0000, 0.0000, 0.0000)  0.00
Ta (0.0000, 0.5000, 0.0000)  0.58
Te (0.5000, 0.0000, 0.0000)  -0.03
Te (0.0000, 0.0000, 0.5000)  -0.02
V (0.5000, 0.5000, 0.5000)  -0.15

Size of the total moment in μB/f.u.: 0.70
Density in g/cm³: 6.40
Formation energy without anion corrections in meV/atom: 1653